This record from the Alexandria database describes crystalline YCdAg at its relaxed geometry. The functional is GGA-PBE.

```
YCdAg
1.0
-2.7855 -0.0313 -4.9489
0.3290 -2.0231 -5.2962
-2.0153 -3.1095 -0.2390
Ag Y Cd
1 1 1
Direct
0.9903 0.9903 0.0097
0.6643 0.6643 0.3357
0.3454 0.3454 0.6546
```

## Properties
Uncorrected energy = -3.674 eV/atom
Mass density = 7.4 g cm⁻³